[1]
## V2Ga2Mo (PBE-GGA)

Data for an optimized crystal structure of V2Ga2Mo.

extended XYZ file:
```
10
Lattice="4.299 0.000 0.000 2.150 4.456 -0.978 2.150 -1.068 7.807" Properties=species:S:1:pos:R:3 pbc="T T T"
V 2.150 0.596 4.109
V 6.449 2.513 5.892
V 6.449 2.792 2.720
V 2.150 0.875 0.937
Ga 4.299 0.720 2.558
Ga 6.449 0.103 7.142
Ga 4.299 2.668 4.271
Ga 2.150 3.285 -0.313
Mo 4.299 0.250 5.538
Mo 4.299 3.138 1.292
```

Properties
Crystal system ... monoclinic
Mass density ... 7.721 g cm⁻³
Energy above the lowest structure with this stoichiometry ... 0 meV/atom

***

[2]
## Tb2Tm5Tl (PBE-GGA)

Data for an optimized crystal structure of Tb2Tm5Tl.

extended XYZ file:
```
8
Lattice="-1.797 -2.912 -0.683 7.717 -3.804 -4.083 -1.866 -0.793 8.319" Properties=species:S:1:pos:R:3 pbc="T T T"
Tb 2.983 -6.057 0.175
Tb 1.071 -1.452 3.378
Tm 3.858 -1.902 -2.041
Tm 1.396 -3.006 0.244
Tm 2.659 -4.504 3.310
Tm 5.503 -5.031 -1.929
Tm -1.449 -2.479 5.483
Tl 0.000 0.000 0.000
```

Properties
Crystal system ... orthorhombic
Mass density ... 9.598 g cm⁻³
Energy above the lowest structure with this stoichiometry ... 0 meV/atom

***

[3]
## Cs2NaHg16 (PBE-GGA)

Data for an optimized crystal structure of Cs2NaHg16.

extended XYZ file:
```
19
Lattice="0.594 -6.362 -5.636 7.382 2.058 -3.724 5.252 -5.198 4.242" Properties=species:S:1:pos:R:3 pbc="T T T"
Cs 8.666 -6.226 -3.353
Cs 4.447 -3.194 -1.720
Na 12.151 -8.729 -4.701
Hg 1.958 -6.009 -2.738
Hg 5.866 -3.069 1.902
Hg 5.386 -0.411 -4.275
Hg 6.746 -0.071 -1.389
Hg 2.581 -3.890 -5.065
Hg 3.883 -5.528 1.344
Hg 8.398 -2.237 -3.697
Hg 4.897 -6.579 -4.683
Hg 7.300 -5.979 0.411
Hg 4.936 -7.026 -1.499
Hg 8.146 -3.045 -0.595
Hg 5.943 -3.595 -5.266
Hg 9.634 -10.270 -3.332
Hg 12.723 -6.439 -2.462
Hg 10.603 -6.968 -6.957
Hg 1.402 -1.007 -0.542
```

Properties
Crystal system ... trigonal
E_tot ... -10.73 eV per cell
Mass density ... 9.770 g cm⁻³

***

[4]
## CuPC (PBE-GGA)

Data for an optimized crystal structure of CuPC.

extended XYZ file:
```
6
Lattice="-2.835 2.543 0.017 -1.886 -2.107 0.507 1.910 0.064 7.367" Properties=species:S:1:pos:R:3 pbc="T T T"
P -0.967 2.330 6.084
P -2.864 1.245 2.654
C -1.484 1.733 1.681
C -1.472 0.712 5.618
Cu -0.275 0.449 0.839
Cu -0.264 -0.573 4.776
```

Properties
Crystal system ... monoclinic
Mass density ... 4.317 g cm⁻³
Energy above the lowest structure with this stoichiometry ... 270 meV/atom

***

[5]
## K2LiTlBr4 (PBE-GGA)

Data for an optimized crystal structure of K2LiTlBr4.

extended XYZ file:
```
16
Lattice="9.163 0.060 0.013 0.053 9.163 0.013 -4.534 -4.537 6.499" Properties=species:S:1:pos:R:3 pbc="T T T"
K 4.581 0.030 0.007
K 2.367 6.924 3.269
K 6.895 -2.209 3.262
K 4.608 4.611 0.013
Li 2.341 2.342 3.262
Li 4.682 4.685 6.525
Tl 0.027 4.581 0.007
Tl 6.922 2.372 3.269
Br 2.019 7.237 0.040
Br 4.268 0.378 3.235
Br 0.414 4.307 3.290
Br 2.663 -2.552 6.485
Br 2.414 2.450 6.433
Br 4.574 4.612 3.355
Br 0.107 0.073 3.170
Br 2.268 2.235 0.092
```

Properties
Crystal system ... monoclinic
Formation energy without anion corrections ... -1416 meV/atom
Mass density ... 3.701 g cm⁻³

***

[6]
## K2TeIrW (PBE-GGA)

Data for an optimized crystal structure of K2TeIrW.

extended XYZ file:
```
5
Lattice="6.585 0.000 0.000 0.000 4.634 0.000 0.000 0.000 6.585" Properties=species:S:1:pos:R:3 pbc="T T T"
K 0.000 0.000 3.292
K 3.292 0.000 0.000
Ir 0.000 2.317 0.000
Te 3.292 2.317 3.292
W 0.000 0.000 0.000
```

Properties
Crystal system ... tetragonal
Formation energy without anion corrections ... 1167 meV/atom
Mass density ... 4.809 g cm⁻³

***

[7]
## Cs2TaCl5 (PBE-GGA)

Data for an optimized crystal structure of Cs2TaCl5.

extended XYZ file:
```
8
Lattice="7.942 0.000 0.000 0.000 7.895 -0.217 -3.971 -4.090 4.992" Properties=species:S:1:pos:R:3 pbc="T T T"
Cs 0.000 3.822 2.400
Cs 3.971 -0.097 2.531
Ta 3.971 3.734 4.458
Cl 6.182 1.642 0.072
Cl 1.760 1.642 0.072
Cl 6.263 6.160 0.016
Cl 1.679 6.160 0.016
Cl 3.971 4.205 2.147
```

Properties
Crystal system ... monoclinic
Formation energy without anion corrections ... -1459 meV/atom
Mass density ... 3.387 g cm⁻³

***

[8]
## MnTc2MoRu (PBE-GGA)

Data for an optimized crystal structure of MnTc2MoRu.

extended XYZ file:
```
5
Lattice="4.603 0.000 0.000 0.000 4.325 0.000 0.000 0.000 4.603" Properties=species:S:1:pos:R:3 pbc="T T T"
Ru 0.000 0.000 0.000
Mo 2.301 2.162 2.301
Mn 0.000 2.162 0.000
Tc 0.000 0.000 2.301
Tc 2.301 0.000 0.000
```

Properties
Crystal system ... tetragonal
E_tot ... -40.90 eV per cell
Mass density ... 8.119 g cm⁻³

***

no.,size of the total moment (μB/cell)
1,0.001
2,0.000
3,0.000
4,0.000
5,0.000
6,2.289
7,2.000
8,1.493